DFT (PBE-GGA) results for a relaxed CuSi2HgAs crystal.

SG: No. 123
Final energy, eV per cell: -15.91
Formation energy (no corrections), eV/atom: 0.80
Size of the total moment, μB per formula unit: 0.0

abc: 4.9041 4.9041 4.5204
angles: 90.00 90.00 90.00
Last column: nearest neighbours and their distance in Å.
Element x y z (fractional)
Cu 0.0000 0.0000 0.0000  2 As 2.26
Si 0.0000 0.5000 0.5000  2 As 2.45
Si 0.5000 0.0000 0.5000  2 As 2.45
Hg 0.5000 0.5000 0.0000  8 Si 3.33, 4 Cu 3.47
As 0.0000 0.0000 0.5000  2 Cu 2.26, 4 Si 2.45

DFT (PBE-GGA) results for a relaxed K2LiCdBi2 crystal.

Energy of formation from the pure elements, eV per atom: -0.370
SG: No. 72
Final energy, eV per cell: -30.01
Size of the total moment, μB per formula unit: 0.0

abc: 9.8102 9.8102 9.8102
angles: 138.94 59.82 138.48
Last column: nearest neighbours and their distance in Å.
Element x y z (fractional)
K 0.1706 0.2427 0.4133  5 Bi 3.62-3.85, 2 Cd 3.77, 2 Li 3.82
K 0.3294 0.7427 0.0720  5 Bi 3.62-3.85, 2 Cd 3.77, 2 Li 3.82
K 0.6706 0.2573 0.9280  5 Bi 3.62-3.85, 2 Cd 3.77, 2 Li 3.82
K 0.8294 0.7573 0.5867  5 Bi 3.62-3.85, 2 Cd 3.77, 2 Li 3.82
Li 0.2500 0.7500 0.5000  4 Bi 2.98
Li 0.7500 0.2500 0.5000  4 Bi 2.98
Cd 0.2500 0.2500 0.0000  4 Bi 3.04
Cd 0.7500 0.7500 0.0000  4 Bi 3.04
Bi 0.1033 0.7422 0.8454  2 Li 2.98, 2 Cd 3.04
Bi 0.3967 0.2422 0.6389  2 Li 2.98, 2 Cd 3.04
Bi 0.6033 0.7578 0.3611  2 Li 2.98, 2 Cd 3.04
Bi 0.8967 0.2578 0.1546  2 Li 2.98, 2 Cd 3.04

DFT (PBE-GGA) results for a relaxed BaMg3I crystal.

SG: No. 221
Final energy, eV per cell: -6.87
Formation energy (no corrections), eV/atom: 0.28
Size of the total moment, μB per formula unit: 0.0

abc: 6.0047 6.0047 6.0047
angles: 90.00 90.00 90.00
Last column: nearest neighbours and their distance in Å.
Element x y z (fractional)
Ba 0.0000 0.0000 0.0000  12 Mg 4.25
Mg 0.0000 0.5000 0.5000  2 I 3.00
Mg 0.5000 0.0000 0.5000  2 I 3.00
Mg 0.5000 0.5000 0.0000  2 I 3.00
I 0.5000 0.5000 0.5000  6 Mg 3.00

DFT (PBE-GGA) results for a relaxed CuNi2Os crystal.

Energy of formation from the pure elements, eV per atom: 0.172
SG: No. 12
Final energy, eV per cell: -26.20
Size of the total moment, μB per formula unit: 0.0

abc: 4.4133 4.4133 4.5394
angles: 97.90 97.90 33.65
Last column: nearest neighbours and their distance in Å.
Element x y z (fractional)
Cu 0.0000 0.0000 0.0000  6 Ni 2.54-2.61, 2 Cu 2.55, 4 Os 2.60
Ni 0.2480 0.2480 0.7434  3 Os 2.54-2.56, 3 Cu 2.54-2.61, 6 Ni 2.55-2.65
Ni 0.7520 0.7520 0.2566  3 Os 2.54-2.56, 3 Cu 2.54-2.61, 6 Ni 2.55-2.65
Os 0.5000 0.5000 0.5000  6 Ni 2.54-2.56, 2 Os 2.55, 4 Cu 2.60

- The lowest final energy belongs to which entry?
  K2LiCdBi2

- Among the records above, which one has the lowest final energy?
  K2LiCdBi2

- Which value of final energy does entry 1 give?
  -15.91 eV per cell